Record 1
Entry from Alexandria via LeMat-Bulk: an optimized crystal structure of Bi2SbPt2 (PBE-GGA).

Cell lengths 4.1829, 6.7677, 9.2775 Å; angles 90.00, 90.00, 108.00 degrees
Positions (direct):
Bi1 0.6112 0.2224 0.3472
Bi2 0.1087 0.2175 0.6559
Bi3 0.3888 0.7776 0.8472
Bi4 0.8913 0.7825 0.1559
Pt1 0.9676 0.9351 0.4372
Pt2 0.0324 0.0649 0.9372
Pt3 0.2504 0.5007 0.0989
Pt4 0.7496 0.4993 0.5989
Sb1 0.6686 0.3371 0.9461
Sb2 0.3314 0.6629 0.4461

- Formation energy from raw total energies: -4.6 kcal/mol of atoms
- Size of the total moment: 0.00 Bohr magnetons per cell
- Offset from the most stable computed form: 0.00 eV per formula unit
- Total energy: -0.3668 Ry/atom

=====

Record 2
Entry from Alexandria via LeMat-Bulk: an optimized crystal structure of BiSb3Pt (PBE-GGA).

Cell lengths 5.3018, 5.3018, 5.3018 Å; angles 90.00, 90.00, 90.00 degrees
Positions (direct):
Bi1 0.5000 0.5000 0.5000
Sb1 0.5000 0.0000 0.0000
Sb2 0.0000 0.5000 0.0000
Sb3 0.0000 0.0000 0.5000
Pt1 0.0000 0.0000 0.0000

- Formation energy from raw total energies: 6.7 kcal/mol of atoms
- Size of the total moment: 0.00 Bohr magnetons per cell
- Offset from the most stable computed form: 0.00 eV per formula unit
- Total energy: -0.3062 Ry/atom

=====

Record 3
Entry from Alexandria via LeMat-Bulk: an optimized crystal structure of Bi2Sb2Pt3 (PBE-GGA).

Cell lengths 4.0179, 5.6786, 7.8644 Å; angles 104.84, 104.80, 90.00 degrees
Positions (direct):
Pt1 0.7481 0.1780 0.4963
Pt2 0.0000 0.0000 0.0000
Pt3 0.2519 0.8220 0.5037
Sb1 0.1613 0.3322 0.3227
Sb2 0.8387 0.6678 0.6773
Bi1 0.4132 0.2195 0.8264
Bi2 0.5868 0.7805 0.1736

- Formation energy from raw total energies: -7.2 kcal/mol of atoms
- Size of the total moment: 0.00 Bohr magnetons per cell
- Offset from the most stable computed form: 0.11 eV per formula unit
- Total energy: -0.3812 Ry/atom

=====

Record 4
Entry from Alexandria via LeMat-Bulk: an optimized crystal structure of SrBiSb2Pt (PBE-GGA).

Cell lengths 5.2686, 5.6984, 5.2686 Å; angles 90.00, 90.00, 90.00 degrees
Positions (direct):
Bi1 0.5000 0.5000 0.5000
Pt1 0.0000 0.0000 0.0000
Sb1 0.0000 0.0000 0.5000
Sb2 0.5000 0.0000 0.0000
Sr1 0.0000 0.5000 0.0000

- Formation energy from raw total energies: -5.4 kcal/mol of atoms
- Size of the total moment: 0.00 Bohr magnetons per cell
- Total energy: -0.3088 Ry/atom

=====

Record 5
Entry from Alexandria via LeMat-Bulk: an optimized crystal structure of Sr2Bi3SbPt4 (PBE-GGA).

Cell lengths 4.9243, 4.9243, 10.6714 Å; angles 90.00, 90.00, 90.00 degrees
Positions (direct):
Pt1 0.0000 0.5000 0.3832
Pt2 0.5000 0.5000 0.0000
Pt3 0.0000 0.0000 0.0000
Pt4 0.5000 0.0000 0.6168
Sr1 0.5000 0.0000 0.2358
Sr2 0.0000 0.5000 0.7642
Bi1 0.0000 0.0000 0.5000
Bi2 0.5000 0.0000 0.8737
Bi3 0.0000 0.5000 0.1263
Sb1 0.5000 0.5000 0.5000

- Formation energy from raw total energies: -13.8 kcal/mol of atoms
- Size of the total moment: 0.00 Bohr magnetons per cell
- Total energy: -0.3623 Ry/atom

=====

Record 6
Entry from Alexandria via LeMat-Bulk: an optimized crystal structure of Sr4Bi2Sb2Pt (PBE-GGA).

Cell lengths 6.3570, 7.3593, 7.3593 Å; angles 61.32, 87.73, 87.73 degrees
Positions (direct):
Bi1 0.7525 0.3717 0.3717
Bi2 0.2475 0.6283 0.6283
Sb1 0.2014 0.1465 0.1465
Sb2 0.7986 0.8535 0.8535
Sr1 0.7486 0.3786 0.8683
Sr2 0.2514 0.1317 0.6214
Sr3 0.2514 0.6214 0.1317
Sr4 0.7486 0.8683 0.3786
Pt1 0.5000 0.0000 0.0000

- Formation energy from raw total energies: -17.6 kcal/mol of atoms
- Size of the total moment: 0.00 Bohr magnetons per cell
- Total energy: -0.2911 Ry/atom

=====

Record 7
Entry from Alexandria via LeMat-Bulk: an optimized crystal structure of BiSbTe2Pt (PBE-GGA).

Cell lengths 5.8182, 5.8182, 5.7759 Å; angles 90.00, 90.00, 90.00 degrees
Positions (direct):
Te1 0.0000 0.5000 0.0000
Te2 0.5000 0.0000 0.0000
Bi1 0.0000 0.0000 0.0000
Pt1 0.5000 0.5000 0.5000
Sb1 0.0000 0.0000 0.5000

- Formation energy from raw total energies: 31.1 kcal/mol of atoms
- Size of the total moment: 0.00 Bohr magnetons per cell
- Offset from the most stable computed form: 5.50 eV per formula unit
- Total energy: -0.1995 Ry/atom

=====

Record 8
Entry from Alexandria via LeMat-Bulk: an optimized crystal structure of BiSbTe2Pt (PBE-GGA).

Cell lengths 5.4094, 5.4094, 5.1547 Å; angles 90.00, 90.00, 90.00 degrees
Positions (direct):
Te1 0.5000 0.0000 0.0000
Te2 0.0000 0.5000 0.0000
Pt1 0.0000 0.0000 0.0000
Bi1 0.5000 0.5000 0.5000
Sb1 0.0000 0.0000 0.5000

- Formation energy from raw total energies: 5.8 kcal/mol of atoms
- Size of the total moment: 0.00 Bohr magnetons per cell
- Offset from the most stable computed form: 0.00 eV per formula unit
- Total energy: -0.2804 Ry/atom

=====

Record 9
Entry from Alexandria via LeMat-Bulk: an optimized crystal structure of ZnBiSbPt2 (PBE-GGA).

Cell lengths 5.0907, 5.9670, 5.0907 Å; angles 90.00, 90.00, 90.00 degrees
Positions (direct):
Bi1 0.0000 0.0000 0.0000
Pt1 0.5000 0.0000 0.0000
Pt2 0.0000 0.0000 0.5000
Sb1 0.0000 0.5000 0.0000
Zn1 0.5000 0.5000 0.5000

- Formation energy from raw total energies: 24.0 kcal/mol of atoms
- Size of the total moment: 0.00 Bohr magnetons per cell
- Total energy: -0.2375 Ry/atom

=====

Record 10
Entry from Alexandria via LeMat-Bulk: an optimized crystal structure of Sc2BiPt2 (PBE-GGA).

Cell lengths 4.5215, 4.5215, 6.3273 Å; angles 69.07, 69.07, 90.00 degrees
Positions (direct):
Pt1 0.6200 0.6200 0.7600
Pt2 0.3800 0.3800 0.2400
Bi1 0.0000 0.0000 0.0000
Sc1 0.7500 0.2500 0.5000
Sc2 0.2500 0.7500 0.5000

- Size of the total moment: 0.00 Bohr magnetons per cell
- Offset from the most stable computed form: 0.73 eV per formula unit
- Total energy: -0.4842 Ry/atom

=====

Record 11
Entry from Alexandria via LeMat-Bulk: an optimized crystal structure of ScBi2Pt (PBE-GGA).

Cell lengths 4.6005, 4.6005, 10.3208 Å; angles 77.12, 77.12, 90.00 degrees
Positions (direct):
Bi1 0.1138 0.6250 0.2500
Bi2 0.8750 0.8862 0.7500
Bi3 0.6362 0.1250 0.2500
Bi4 0.3750 0.3638 0.7500
Pt1 0.7500 0.2500 0.5000
Pt2 0.0000 0.0000 0.0000
Sc1 0.2500 0.7500 0.5000
Sc2 0.5000 0.5000 0.0000

- Size of the total moment: 0.00 Bohr magnetons per cell
- Offset from the most stable computed form: 0.00 eV per formula unit
- Total energy: -0.3839 Ry/atom

=====

Record 12
Entry from Alexandria via LeMat-Bulk: an optimized crystal structure of Sc2BiPt (PBE-GGA).

Cell lengths 10.5866, 10.5866, 10.5866 Å; angles 17.51, 17.51, 17.51 degrees
Positions (direct):
Bi1 0.5000 0.5000 0.5000
Sc1 0.9196 0.9196 0.9196
Sc2 0.0804 0.0804 0.0804
Pt1 0.0000 0.0000 0.0000

- Size of the total moment: 0.00 Bohr magnetons per cell
- Total energy: -0.4167 Ry/atom